Material: CdPd2Pt
Method: DFT, PBE
State: relaxed

Structure (POSCAR):
```
CdPd2Pt
1.0
2.879 0.000 0.000
0.000 2.879 0.000
0.000 0.000 7.886
Cd Pd Pt
1 2 1
direct
0.000 0.000 0.000 Cd
0.500 0.500 0.255 Pd
0.500 0.500 0.745 Pd
0.000 0.000 0.500 Pt
```

Calculated values
Total moment = 0.0 Bohr magnetons per cell
Total DFT energy (no corrections) = -18.14 eV per cell
Symmetry = P4/mmm (123)
N(E_F) = 1.289 states/eV per atom
Energy relative to the elements = -200.7 meV per atom